Run a
Computed, not measured: a relaxed structure of SiCI2 at the PBE level of DFT.

Output
DOS(E_F) in states/eV per cell: 12.51
Magnetization in μB per cell: 0.00

```
data_SiCI2
_symmetry_space_group_name_H-M 'I -4 2 d'
_symmetry_Int_Tables_number 122
_symmetry_space_group_name_Hall 'I -4 2bw'
_cell_length_a 7.1212
_cell_length_b 7.1212
_cell_length_c 8.0656
_cell_angle_alpha 90.00
_cell_angle_beta 90.00
_cell_angle_gamma 90.00
loop_
_atom_site_label
_atom_site_fract_x
_atom_site_fract_y
_atom_site_fract_z
_atom_site_occupancy
Si1 0.0000 0.0000 0.0000 1
C1 0.0000 0.0000 0.5000 1
I1 0.2107 0.2500 0.6250 1
```

Run b
Computed, not measured: a relaxed structure of SiCI2 at the PBE level of DFT.

Output
DOS(E_F) in states/eV per cell: 12.65
Magnetization in μB per cell: 5.00

```
data_SiCI2
_symmetry_space_group_name_H-M 'F m -3 m'
_symmetry_Int_Tables_number 225
_symmetry_space_group_name_Hall '-F 4 2 3'
_cell_length_a 7.1747
_cell_length_b 7.1747
_cell_length_c 7.1747
_cell_angle_alpha 90.00
_cell_angle_beta 90.00
_cell_angle_gamma 90.00
loop_
_atom_site_label
_atom_site_fract_x
_atom_site_fract_y
_atom_site_fract_z
_atom_site_occupancy
Si1 0.0000 0.0000 0.0000 1
C1 0.0000 0.0000 0.5000 1
I1 0.2500 0.2500 0.2500 1
```

Tell me which of them is the most stable. Sure, it is run a.

Run a
Computed, not measured: a relaxed structure of SnC3I at the PBE level of DFT.

Output
DOS(E_F) in states/eV per cell: 3.90
Magnetization in μB per cell: 2.55

```
data_SnC3I
_symmetry_space_group_name_H-M 'P m -3 m'
_symmetry_Int_Tables_number 221
_symmetry_space_group_name_Hall '-P 4 2 3'
_cell_length_a 4.4357
_cell_length_b 4.4357
_cell_length_c 4.4357
_cell_angle_alpha 90.00
_cell_angle_beta 90.00
_cell_angle_gamma 90.00
loop_
_atom_site_label
_atom_site_fract_x
_atom_site_fract_y
_atom_site_fract_z
_atom_site_occupancy
Sn1 0.0000 0.0000 0.0000 1
C1 0.0000 0.0000 0.5000 1
I1 0.5000 0.5000 0.5000 1
```

Run b
Computed, not measured: a relaxed structure of SnC3I at the PBE level of DFT.

Output
DOS(E_F) in states/eV per cell: 3.51
Magnetization in μB per cell: 0.00

```
data_SnC3I
_symmetry_space_group_name_H-M 'P m -3 m'
_symmetry_Int_Tables_number 221
_symmetry_space_group_name_Hall '-P 4 2 3'
_cell_length_a 4.2374
_cell_length_b 4.2374
_cell_length_c 4.2374
_cell_angle_alpha 90.00
_cell_angle_beta 90.00
_cell_angle_gamma 90.00
loop_
_atom_site_label
_atom_site_fract_x
_atom_site_fract_y
_atom_site_fract_z
_atom_site_occupancy
Sn1 0.0000 0.0000 0.0000 1
C1 0.0000 0.5000 0.5000 1
I1 0.5000 0.5000 0.5000 1
```

Tell me which of them is the most stable. Sure, it is run a.

Run a
Computed, not measured: a relaxed structure of Sn3CI at the PBE level of DFT.

Output
DOS(E_F) in states/eV per cell: 4.61
Magnetization in μB per cell: 0.00

```
data_Sn3CI
_symmetry_space_group_name_H-M 'P m -3 m'
_symmetry_Int_Tables_number 221
_symmetry_space_group_name_Hall '-P 4 2 3'
_cell_length_a 5.0628
_cell_length_b 5.0628
_cell_length_c 5.0628
_cell_angle_alpha 90.00
_cell_angle_beta 90.00
_cell_angle_gamma 90.00
loop_
_atom_site_label
_atom_site_fract_x
_atom_site_fract_y
_atom_site_fract_z
_atom_site_occupancy
Sn1 0.0000 0.0000 0.5000 1
C1 0.0000 0.0000 0.0000 1
I1 0.5000 0.5000 0.5000 1
```

Run b
Computed, not measured: a relaxed structure of Sn3CI at the PBE level of DFT.

Output
DOS(E_F) in states/eV per cell: 2.98
Magnetization in μB per cell: 0.78

```
data_Sn3CI
_symmetry_space_group_name_H-M 'P m -3 m'
_symmetry_Int_Tables_number 221
_symmetry_space_group_name_Hall '-P 4 2 3'
_cell_length_a 5.9170
_cell_length_b 5.9170
_cell_length_c 5.9170
_cell_angle_alpha 90.00
_cell_angle_beta 90.00
_cell_angle_gamma 90.00
loop_
_atom_site_label
_atom_site_fract_x
_atom_site_fract_y
_atom_site_fract_z
_atom_site_occupancy
Sn1 0.0000 0.0000 0.5000 1
C1 0.5000 0.5000 0.5000 1
I1 0.0000 0.0000 0.0000 1
```

Tell me which of them is the most stable. Sure, it is run a.

Run a
Computed, not measured: a relaxed structure of SrCI3 at the PBE level of DFT.

Output
DOS(E_F) in states/eV per cell: 15.59
Magnetization in μB per cell: 1.00

```
data_SrCI3
_symmetry_space_group_name_H-M 'P m -3 m'
_symmetry_Int_Tables_number 221
_symmetry_space_group_name_Hall '-P 4 2 3'
_cell_length_a 6.4505
_cell_length_b 6.4505
_cell_length_c 6.4505
_cell_angle_alpha 90.00
_cell_angle_beta 90.00
_cell_angle_gamma 90.00
loop_
_atom_site_label
_atom_site_fract_x
_atom_site_fract_y
_atom_site_fract_z
_atom_site_occupancy
Sr1 0.0000 0.0000 0.0000 1
C1 0.5000 0.5000 0.5000 1
I1 0.0000 0.0000 0.5000 1
```

Run b
Computed, not measured: a relaxed structure of SrCI3 at the PBE level of DFT.

Output
DOS(E_F) in states/eV per cell: 1.09
Magnetization in μB per cell: 0.00

```
data_SrCI3
_symmetry_space_group_name_H-M 'P m -3 m'
_symmetry_Int_Tables_number 221
_symmetry_space_group_name_Hall '-P 4 2 3'
_cell_length_a 5.2740
_cell_length_b 5.2740
_cell_length_c 5.2740
_cell_angle_alpha 90.00
_cell_angle_beta 90.00
_cell_angle_gamma 90.00
loop_
_atom_site_label
_atom_site_fract_x
_atom_site_fract_y
_atom_site_fract_z
_atom_site_occupancy
Sr1 0.0000 0.0000 0.0000 1
C1 0.5000 0.5000 0.5000 1
I1 0.0000 0.5000 0.5000 1
```

Tell me which of them is the most stable. Sure, it is run b.

Run a
Computed, not measured: a relaxed structure of SrC3I at the PBE level of DFT.

Output
DOS(E_F) in states/eV per cell: 6.05
Magnetization in μB per cell: 7.00

```
data_SrC3I
_symmetry_space_group_name_H-M 'P m -3 m'
_symmetry_Int_Tables_number 221
_symmetry_space_group_name_Hall '-P 4 2 3'
_cell_length_a 5.2665
_cell_length_b 5.2665
_cell_length_c 5.2665
_cell_angle_alpha 90.00
_cell_angle_beta 90.00
_cell_angle_gamma 90.00
loop_
_atom_site_label
_atom_site_fract_x
_atom_site_fract_y
_atom_site_fract_z
_atom_site_occupancy
Sr1 0.0000 0.0000 0.0000 1
C1 0.0000 0.0000 0.5000 1
I1 0.5000 0.5000 0.5000 1
```

Run b
Computed, not measured: a relaxed structure of SrC3I at the PBE level of DFT.

Output
DOS(E_F) in states/eV per cell: 4.90
Magnetization in μB per cell: 0.00

```
data_SrC3I
_symmetry_space_group_name_H-M 'P m -3 m'
_symmetry_Int_Tables_number 221
_symmetry_space_group_name_Hall '-P 4 2 3'
_cell_length_a 4.3455
_cell_length_b 4.3455
_cell_length_c 4.3455
_cell_angle_alpha 90.00
_cell_angle_beta 90.00
_cell_angle_gamma 90.00
loop_
_atom_site_label
_atom_site_fract_x
_atom_site_fract_y
_atom_site_fract_z
_atom_site_occupancy
Sr1 0.0000 0.0000 0.0000 1
C1 0.0000 0.5000 0.5000 1
I1 0.5000 0.5000 0.5000 1
```

Tell me which of them is the most stable. Sure, it is run b.

Run a
Computed, not measured: a relaxed structure of SrCI2 at the PBE level of DFT.

Output
DOS(E_F) in states/eV per cell: 3.35
Magnetization in μB per cell: 0.00

```
data_SrCI2
_symmetry_space_group_name_H-M 'I -4 2 d'
_symmetry_Int_Tables_number 122
_symmetry_space_group_name_Hall 'I -4 2bw'
_cell_length_a 5.9693
_cell_length_b 5.9693
_cell_length_c 16.3222
_cell_angle_alpha 90.00
_cell_angle_beta 90.00
_cell_angle_gamma 90.00
loop_
_atom_site_label
_atom_site_fract_x
_atom_site_fract_y
_atom_site_fract_z
_atom_site_occupancy
Sr1 0.0000 0.0000 0.0000 1
C1 0.0000 0.0000 0.5000 1
I1 0.1670 0.2500 0.6250 1
```

Run b
Computed, not measured: a relaxed structure of SrCI2 at the PBE level of DFT.

Output
DOS(E_F) in states/eV per cell: 26.60
Magnetization in μB per cell: 8.00

```
data_SrCI2
_symmetry_space_group_name_H-M 'F m -3 m'
_symmetry_Int_Tables_number 225
_symmetry_space_group_name_Hall '-F 4 2 3'
_cell_length_a 7.9948
_cell_length_b 7.9948
_cell_length_c 7.9948
_cell_angle_alpha 90.00
_cell_angle_beta 90.00
_cell_angle_gamma 90.00
loop_
_atom_site_label
_atom_site_fract_x
_atom_site_fract_y
_atom_site_fract_z
_atom_site_occupancy
Sr1 0.0000 0.0000 0.0000 1
C1 0.0000 0.0000 0.5000 1
I1 0.2500 0.2500 0.2500 1
```

Tell me which of them is the most stable. Sure, it is run b.